Record 1
DFT (GGA-PBE) results for a relaxed NaInPb crystal. Values from VASP.

Properties
The space group is No. 14. The crystal system is monoclinic.

```
&SYSTEM
  ibrav = 0, nat = 12, ntyp = 3
/
ATOMIC_SPECIES
Na 22.99 Na.upf
In 114.82 In.upf
Pb 207.20 Pb.upf
ATOMIC_POSITIONS angstrom
Na 4.5253 5.1967 7.9287
Na 1.2183 4.2396 3.6926
Na 2.0887 1.0941 0.5434
Na 5.3957 2.0513 4.7794
In 5.6996 2.0076 8.0289
In 0.9144 4.2833 0.4431
In 4.2214 5.1531 4.6792
In 2.3926 1.1378 3.7929
Pb 2.7002 2.5831 6.7184
Pb 3.9138 3.7077 1.7537
Pb 5.2624 0.5623 1.7245
Pb 1.3516 5.7286 6.7476
CELL_PARAMETERS angstrom
5.8692 0.0000 -0.7579
0.0000 6.2909 0.0000
0.7448 0.0000 9.2299
```

Record 2
DFT (GGA-PBE) results for a relaxed Na3In7Pb2 crystal. Values from VASP.

Properties
The space group is No. 166. The crystal system is trigonal.

```
&SYSTEM
  ibrav = 0, nat = 12, ntyp = 3
/
ATOMIC_SPECIES
Na 22.99 Na.upf
In 114.82 In.upf
Pb 207.20 Pb.upf
ATOMIC_POSITIONS angstrom
Na 0.0000 0.0000 0.0000
Na 9.4214 5.4395 4.4770
Na 3.1405 1.8132 6.0917
In 6.2809 3.6263 5.2843
In 7.8919 2.6962 2.8235
In 6.2809 5.4865 2.8235
In 4.6700 2.6962 2.8235
In 4.6700 4.5564 7.7451
In 7.8919 4.5564 7.7451
In 6.2809 1.7661 7.7451
Pb 6.2809 3.6263 0.1509
Pb 6.2809 3.6263 10.4178
CELL_PARAMETERS angstrom
6.2809 0.0000 0.0000
3.1405 5.4395 0.0000
3.1405 1.8132 10.5687
```

Record 3
DFT (GGA-PBE) results for a relaxed Na5In2Pb crystal. Values from VASP.

Properties
The space group is No. 194. The crystal system is hexagonal.

```
&SYSTEM
  ibrav = 0, nat = 16, ntyp = 3
/
ATOMIC_SPECIES
Na 22.99 Na.upf
In 114.82 In.upf
Pb 207.20 Pb.upf
ATOMIC_POSITIONS angstrom
Na 0.0000 0.0000 6.9556
Na 0.0000 0.0000 3.3288
Na 2.7311 1.5768 5.1422
Na 0.0000 0.0000 17.2399
Na 2.7311 1.5768 1.0388
Na 0.0000 3.1536 15.4266
Na 0.0000 3.1536 19.5300
Na 0.0000 3.1536 11.3231
Na 2.7311 1.5768 9.2456
Na 0.0000 0.0000 13.6132
In 2.7311 1.5768 12.5112
In 0.0000 3.1536 2.2268
In 0.0000 3.1536 8.0576
In 2.7311 1.5768 18.3420
Pb 0.0000 3.1536 5.1422
Pb 2.7311 1.5768 15.4266
CELL_PARAMETERS angstrom
5.4622 0.0000 0.0000
-2.7311 4.7304 0.0000
0.0000 0.0000 20.5688
```

Record 4
DFT (GGA-PBE) results for a relaxed NaIn4Pb crystal. Values from VASP.

Properties
The space group is No. 216. The crystal system is cubic.

```
&SYSTEM
  ibrav = 0, nat = 6, ntyp = 3
/
ATOMIC_SPECIES
Pb 207.20 Pb.upf
Na 22.99 Na.upf
In 114.82 In.upf
ATOMIC_POSITIONS angstrom
Pb 0.0000 0.0000 0.0000
Na 3.1302 1.8072 1.2779
In 6.2605 3.6145 0.6417
In 6.2605 1.8098 3.1939
In 7.8234 4.5168 3.1939
In 4.6976 4.5168 3.1939
CELL_PARAMETERS angstrom
6.2605 0.0000 0.0000
3.1302 5.4217 0.0000
3.1302 1.8072 5.1117
```

Number 1: ΔE_f -0.09 eV/atom, DOS at the Fermi energy 4.76 states/eV/cell, total magnetization 0.000 μB per atom. Number 2: ΔE_f -0.04 eV/atom, DOS at the Fermi energy 6.40 states/eV/cell, total magnetization 0.000 μB per atom. Number 3: ΔE_f -0.04 eV/atom, DOS at the Fermi energy 7.81 states/eV/cell, total magnetization 0.000 μB per atom. Number 4: ΔE_f -0.02 eV/atom, DOS at the Fermi energy 2.85 states/eV/cell, total magnetization 0.000 μB per atom.